# 1
An optimized crystal structure of Ho3ZrHg4. Source: the Alexandria database, functional PBE-GGA.

Results
Energy relative to the elements   -0.38 eV per atom
Space group   No. 123

Cell lengths 3.680, 3.680, 14.456 Å; angles 90.00, 90.00, 90.00 degrees
Element x y z (fractional)
Ho  0.000  0.000  0.000
Ho  0.000  0.000  0.258
Ho  0.000  0.000  0.742
Zr  0.000  0.000  0.500
Hg  0.500  0.500  0.128
Hg  0.500  0.500  0.385
Hg  0.500  0.500  0.615
Hg  0.500  0.500  0.872

# 2
An optimized crystal structure of Ho2ZrHg. Source: the Alexandria database, functional PBE-GGA.

Results
Energy above the most stable polymorph in this dataset   0.126 eV per atom
Energy relative to the elements   -0.08 eV per atom
Space group   No. 123

Cell lengths 4.706, 4.706, 4.560 Å; angles 90.00, 90.00, 90.00 degrees
Element x y z (fractional)
Ho  0.000  0.500  0.000
Ho  0.500  0.000  0.000
Zr  0.000  0.000  0.500
Hg  0.500  0.500  0.500

# 3
An optimized crystal structure of Ho2ZrHg. Source: the Alexandria database, functional PBE-GGA.

Results
Energy above the most stable polymorph in this dataset   0.000 eV per atom
Energy relative to the elements   -0.21 eV per atom
Space group   No. 123

Cell lengths 3.462, 3.462, 8.708 Å; angles 90.00, 90.00, 90.00 degrees
Element x y z (fractional)
Ho  0.000  0.000  0.240
Ho  0.000  0.000  0.760
Zr  0.500  0.500  0.500
Hg  0.500  0.500  0.000

# 4
An optimized crystal structure of Ho4ZrHg5. Source: the Alexandria database, functional PBE-GGA.

Results
Energy relative to the elements   -0.40 eV per atom
Space group   No. 123

Cell lengths 3.681, 3.681, 18.199 Å; angles 90.00, 90.00, 90.00 degrees
Element x y z (fractional)
Ho  0.000  0.000  0.103
Ho  0.000  0.000  0.308
Ho  0.000  0.000  0.692
Ho  0.000  0.000  0.897
Zr  0.000  0.000  0.500
Hg  0.500  0.500  0.000
Hg  0.500  0.500  0.205
Hg  0.500  0.500  0.408
Hg  0.500  0.500  0.592
Hg  0.500  0.500  0.795

# 5
An optimized crystal structure of Ho2ZrHg. Source: the Alexandria database, functional PBE-GGA.

Results
Energy above the most stable polymorph in this dataset   0.097 eV per atom
Energy relative to the elements   -0.11 eV per atom
Space group   No. 160

Cell lengths 3.508, 3.508, 30.461 Å; angles 90.00, 90.00, 120.00 degrees
Element x y z (fractional)
Ho  0.000  0.000  0.000
Ho  0.000  0.000  0.171
Ho  0.333  0.667  0.667
Ho  0.333  0.667  0.838
Ho  0.667  0.333  0.333
Ho  0.667  0.333  0.504
Zr  0.000  0.000  0.418
Zr  0.333  0.667  0.085
Zr  0.667  0.333  0.752
Hg  0.000  0.000  0.585
Hg  0.333  0.667  0.252
Hg  0.667  0.333  0.918

# 6
An optimized crystal structure of Hg2I. Source: the Alexandria database, functional PBE-GGA.

Results
Energy above the most stable polymorph in this dataset   0.000 eV per atom
Space group   No. 15

Cell lengths 6.995, 6.925, 11.346 Å; angles 90.00, 107.85, 90.00 degrees
Element x y z (fractional)
Hg  0.155  0.126  0.062
Hg  0.155  0.874  0.562
Hg  0.345  0.374  0.938
Hg  0.345  0.626  0.438
Hg  0.655  0.374  0.562
Hg  0.655  0.626  0.062
Hg  0.845  0.126  0.438
Hg  0.845  0.874  0.938
I  0.000  0.376  0.250
I  0.000  0.624  0.750
I  0.500  0.124  0.750
I  0.500  0.876  0.250

# 7
An optimized crystal structure of HgI3. Source: the Alexandria database, functional PBE-GGA.

Results
Energy above the most stable polymorph in this dataset   0.282 eV per atom
Space group   No. 122

Cell lengths 8.786, 8.786, 8.668 Å; angles 90.00, 90.00, 90.00 degrees
Element x y z (fractional)
Hg  0.000  0.000  0.000
Hg  0.000  0.500  0.250
Hg  0.500  0.000  0.750
Hg  0.500  0.500  0.500
I  0.000  0.000  0.500
I  0.000  0.500  0.750
I  0.179  0.250  0.125
I  0.250  0.679  0.375
I  0.250  0.821  0.875
I  0.321  0.250  0.625
I  0.500  0.000  0.250
I  0.500  0.500  0.000
I  0.679  0.750  0.625
I  0.750  0.179  0.875
I  0.750  0.321  0.375
I  0.821  0.750  0.125

# 8
An optimized crystal structure of Hg17I2. Source: the Alexandria database, functional PBE-GGA.

Results
Uncorrected energy   -0.451 eV per atom
Space group   No. 166

Cell lengths 8.668, 8.668, 8.668 Å; angles 73.97, 73.97, 73.97 degrees
Element x y z (fractional)
Hg  0.000  0.000  0.500
Hg  0.000  0.290  0.710
Hg  0.000  0.500  0.000
Hg  0.000  0.710  0.290
Hg  0.103  0.103  0.103
Hg  0.191  0.568  0.568
Hg  0.290  0.000  0.710
Hg  0.290  0.710  0.000
Hg  0.432  0.432  0.809
Hg  0.432  0.809  0.432
Hg  0.500  0.000  0.000
Hg  0.568  0.191  0.568
Hg  0.568  0.568  0.191
Hg  0.710  0.000  0.290
Hg  0.710  0.290  0.000
Hg  0.809  0.432  0.432
Hg  0.897  0.897  0.897
I  0.293  0.293  0.293
I  0.707  0.707  0.707

# 9
An optimized crystal structure of Hg5I. Source: the Alexandria database, functional PBE-GGA.

Results
Energy above the most stable polymorph in this dataset   0.016 eV per atom
Space group   No. 65

Cell lengths 4.908, 18.480, 4.178 Å; angles 90.00, 90.00, 90.00 degrees
Element x y z (fractional)
Hg  0.000  0.000  0.000
Hg  0.000  0.160  0.500
Hg  0.000  0.323  0.000
Hg  0.000  0.677  0.000
Hg  0.000  0.840  0.500
Hg  0.500  0.177  0.000
Hg  0.500  0.340  0.500
Hg  0.500  0.500  0.000
Hg  0.500  0.660  0.500
Hg  0.500  0.823  0.000
I  0.000  0.500  0.500
I  0.500  0.000  0.500

# 10
An optimized crystal structure of HgI3. Source: the Alexandria database, functional PBE-GGA.

Results
Energy above the most stable polymorph in this dataset   0.209 eV per atom
Space group   No. 71

Cell lengths 4.259, 8.571, 9.405 Å; angles 90.00, 90.00, 90.00 degrees
Element x y z (fractional)
Hg  0.000  0.000  0.000
Hg  0.500  0.500  0.500
I  0.000  0.000  0.500
I  0.000  0.500  0.284
I  0.000  0.500  0.716
I  0.500  0.000  0.216
I  0.500  0.000  0.784
I  0.500  0.500  0.000

# 11
An optimized crystal structure of HgI3. Source: the Alexandria database, functional PBE-GGA.

Results
Energy above the most stable polymorph in this dataset   0.021 eV per atom
Space group   No. 1

Cell lengths 7.658, 7.687, 8.141 Å; angles 72.88, 78.70, 69.28 degrees
Element x y z (fractional)
Hg  0.000  0.000  0.000
Hg  0.388  0.394  0.993
I  0.076  0.598  0.187
I  0.361  0.022  0.029
I  0.499  0.558  0.642
I  0.727  0.266  0.169
I  0.743  0.772  0.660
I  0.967  0.016  0.652

# 12
An optimized crystal structure of Hg13I2. Source: the Alexandria database, functional PBE-GGA.

Results
Uncorrected energy   -0.481 eV per atom
Space group   No. 166

Cell lengths 9.738, 9.738, 9.738 Å; angles 49.06, 49.06, 49.06 degrees
Element x y z (fractional)
Hg  0.000  0.000  0.000
Hg  0.153  0.153  0.537
Hg  0.153  0.537  0.153
Hg  0.297  0.297  0.686
Hg  0.297  0.686  0.297
Hg  0.314  0.703  0.703
Hg  0.463  0.847  0.847
Hg  0.537  0.153  0.153
Hg  0.686  0.297  0.297
Hg  0.703  0.314  0.703
Hg  0.703  0.703  0.314
Hg  0.847  0.463  0.847
Hg  0.847  0.847  0.463
I  0.164  0.164  0.164
I  0.836  0.836  0.836